DFT (PBE-GGA) results for a relaxed structure of TmBeC.

Space-group type: No. 187
Volume: 11.786 Å³ per atom
Excess energy over the best structure of this formula in the dataset: 0.000 eV/atom

Lattice parameters (Å, degrees): 3.3213 3.3213 3.7014 90.00 90.00 120.00
Fractional positions:
Tm1 0.0000 0.0000 0.0000
Be1 0.6667 0.3333 0.5000
C1 0.3333 0.6667 0.5000

***

DFT (PBE-GGA) results for a relaxed structure of Dy3HoNi8.

Space-group type: No. 160
Energy: -70.1 eV for the cell shown
Volume: 15.273 Å³ per atom

Lattice parameters (Å, degrees): 8.7799 8.7799 8.7799 33.46 33.46 33.46
Fractional positions:
Dy1 0.0000 0.0000 0.0000
Dy2 0.1249 0.1249 0.1249
Dy3 0.5001 0.5001 0.5001
Ho1 0.6249 0.6249 0.6249
Ni1 0.0620 0.5624 0.5624
Ni2 0.0625 0.0625 0.5627
Ni3 0.0625 0.5627 0.0625
Ni4 0.3124 0.3124 0.3124
Ni5 0.5624 0.0620 0.5624
Ni6 0.5624 0.5624 0.0620
Ni7 0.5627 0.0625 0.0625
Ni8 0.8124 0.8124 0.8124

***

DFT (PBE-GGA) results for a relaxed structure of CeHo2Nb.

Space-group type: No. 166
Energy: -24.0 eV for the cell shown
Volume: 26.032 Å³ per atom

Lattice parameters (Å, degrees): 11.2131 11.2131 11.2131 16.92 16.92 16.92
Fractional positions:
Ce1 0.0000 0.0000 0.0000
Ho1 0.2426 0.2426 0.2426
Ho2 0.7574 0.7574 0.7574
Nb1 0.5000 0.5000 0.5000

***

DFT (PBE-GGA) results for a relaxed structure of PmSmDyTm.

Space-group type: No. 8
Volume: 32.617 Å³ per atom
Excess energy over the best structure of this formula in the dataset: 0.000 eV/atom

Lattice parameters (Å, degrees): 6.8869 6.8869 3.7358 105.50 105.50 50.42
Fractional positions:
Pm1 0.0000 0.0000 0.0000
Sm1 0.2660 0.2660 0.7997
Dy1 0.5196 0.5196 0.5268
Tm1 0.7567 0.7567 0.2777

***

DFT (PBE-GGA) results for a relaxed structure of LaH4Pd.

Space-group type: No. 12
Energy: -26.2 eV for the cell shown
Volume: 11.094 Å³ per atom

Lattice parameters (Å, degrees): 4.6119 4.6119 4.1568 116.61 116.61 62.02
Fractional positions:
La1 0.0000 0.0000 0.0000
H1 0.0650 0.5955 0.3290
H2 0.4045 0.9350 0.6710
H3 0.5955 0.0650 0.3290
H4 0.9350 0.4045 0.6710
Pd1 0.5000 0.5000 0.5000

***

DFT (PBE-GGA) results for a relaxed structure of SiAs2Ru.

Space-group type: No. 123
Energy: -23.2 eV for the cell shown
Volume: 16.045 Å³ per atom

Lattice parameters (Å, degrees): 3.0416 3.0416 6.9376 90.00 90.00 90.00
Fractional positions:
Si1 0.0000 0.0000 0.0000
As1 0.5000 0.5000 0.2754
As2 0.5000 0.5000 0.7246
Ru1 0.0000 0.0000 0.5000